HgRu2Au after structural relaxation, computed with PBE.

Values from the calculation:
* DFT total energy: -4.9115 eV/atom
* D(E_F): 3.2 states/eV/f.u.

extended XYZ file:
```
4
Lattice="2.868 0.000 0.000 0.000 2.868 0.000 0.000 0.000 8.237" Properties=species:S:1:pos:R:3 pbc="T T T"
Hg 0.000 0.000 0.000
Ru 1.434 1.434 2.118
Ru 1.434 1.434 6.119
Au 0.000 0.000 4.118
```